Here is a geometry-optimized Li2NpSbN4 structure from the Alexandria database. Energies are from GGA-PBE.

Properties
- energy (eV per atom) = -7.1317
- raw formation energy (eV per atom) = -0.36

a b c (Å): 5.4126 3.4600 5.8164
angles (deg): 90.00 108.75 90.00
With the nearest neighbours (Å) after each atom.
Element x y z (fractional)
Li: 0.0000 0.0000 0.0000  6 N 2.56-2.57
Li: 0.0000 0.5000 0.5000  6 N 2.23-2.39
Np: 0.5000 0.0000 0.5000  6 N 2.01-2.21
Sb: 0.5000 0.5000 0.0000  6 N 2.36-2.40
N: 0.2816 0.0000 0.7216  1 Np 2.01
N: 0.2843 0.5000 0.2937  2 Np 2.21, 1 Li 2.23, 1 Sb 2.36
N: 0.7157 0.5000 0.7063  2 Np 2.21, 1 Li 2.23, 1 Sb 2.36
N: 0.7184 0.0000 0.2784  1 Np 2.01